Compound: BaCa2Zn
Source: Alexandria via LeMat-Bulk
Functional: PBE
Structure: optimized geometry

Computed properties:
As for the total magnetic moment: 0.00 μB/atom. The formation energy is -0.085 eV per atom.

Cell and atoms, written as extended XYZ:
```
4
Lattice="-2.6707 -6.6798 1.1088 1.3808 -5.2888 -4.8066 2.5359 4.8779 4.7704" Properties=species:S:1:pos:R:3 pbc="T T T"
Zn -0.3899 -3.8931 2.0151
Ca -1.2196 -11.3159 -3.4961
Ca -0.7153 -6.6370 -2.0506
Ba 1.6359 -3.1976 -0.9425
```

***

Compound: SrLi2TlPt
Source: Alexandria via LeMat-Bulk
Functional: PBE
Structure: optimized geometry

Computed properties:
As for the total magnetic moment: 0.00 μB/atom. The formation energy is -0.303 eV per atom.

Cell and atoms, written as extended XYZ:
```
5
Lattice="-0.0809 -4.4154 -2.2294 3.5433 -1.6075 3.0550 -3.6791 -1.6490 3.3994" Properties=species:S:1:pos:R:3 pbc="T T T"
Sr -0.1084 -3.8360 2.1125
Tl -1.8395 -0.8245 1.6997
Pt 0.0000 0.0000 0.0000
Li 1.7717 -0.8038 1.5275
Li -0.0405 -2.2077 -1.1147
```